This record from the Alexandria database describes an optimized crystal structure of LiAgHRh2. The functional is GGA-PBE.

Output
Mass density ... 8.52 g cm⁻³
E above lowest polymorph ... 60 meV per atom
SG ... P4/mmm, No. 123

Geometry as extended XYZ:
```
5
Lattice="3.814 0.000 0.000 0.000 3.814 0.000 0.000 0.000 4.309" Properties=species:S:1:pos:R:3 pbc="T T T"
Rh 1.907 0.000 0.000
H 0.000 0.000 0.000
Li 1.907 1.907 2.154
Ag 0.000 0.000 2.154
Rh 0.000 1.907 0.000
```